Material: CaLa4Sm7
Method: DFT, PBE-GGA
State: optimized geometry

## Properties
Its energy of formation from the pure elements is 0.041 eV per atom. Its magnetization is 0.0000 μB per atom.

```
data_CaLa4Sm7
_chemical_formula_sum 'Ca1 La4 Sm7'
_cell_length_a 6.4409
_cell_length_b 7.3834
_cell_length_c 9.2388
_cell_angle_alpha 89.69
_cell_angle_beta 76.46
_cell_angle_gamma 89.94
_space_group_name_H-M_alt 'P -1'
_space_group_IT_number 2
_space_group_name_Hall '-P 1'
loop_
_atom_site_label
_atom_site_type_symbol
_atom_site_fract_x
_atom_site_fract_y
_atom_site_fract_z
_atom_site_occupancy
Ca1 Ca 0.0000 0.0000 0.0000 1
La1 La 0.2179 0.5005 0.3263 1
La2 La 0.2858 0.2541 0.6647 1
Sm1 Sm 0.0000 0.5000 0.0000 1
Sm2 Sm 0.2241 0.0003 0.3387 1
Sm3 Sm 0.2826 0.7477 0.6684 1
Sm4 Sm 0.4982 0.7466 0.9994 1
```


Material: PuAg2Te2
Method: DFT, PBE-GGA
State: optimized geometry

## Properties
The formation energy without anion corrections is -35.9 kJ per mole of atoms. Its magnetization is 1.1982 μB per atom.

```
data_PuAg2Te2
_chemical_formula_sum 'Pu4 Ag8 Te8'
_cell_length_a 9.2600
_cell_length_b 13.6724
_cell_length_c 6.3251
_cell_angle_alpha 90.00
_cell_angle_beta 132.46
_cell_angle_gamma 90.00
_space_group_name_H-M_alt 'C 1 2/c 1'
_space_group_IT_number 15
_space_group_name_Hall '-C 2yc'
loop_
_atom_site_label
_atom_site_type_symbol
_atom_site_fract_x
_atom_site_fract_y
_atom_site_fract_z
_atom_site_occupancy
Pu1 Pu 0.0000 0.1226 0.2500 1
Ag1 Ag 0.1727 0.4664 0.7619 1
Te1 Te 0.0000 0.1240 0.7500 1
Te2 Te 0.0000 0.3540 0.2500 1
```


Material: NdHo5Hg3
Method: DFT, PBE-GGA
State: optimized geometry

## Properties
Its energy of formation from the pure elements is -0.295 eV per atom. Its magnetization is 0.0000 μB per atom.

```
data_NdHo5Hg3
_chemical_formula_sum 'Nd2 Ho10 Hg6'
_cell_length_a 9.0836
_cell_length_b 9.0836
_cell_length_c 6.9448
_cell_angle_alpha 90.00
_cell_angle_beta 90.00
_cell_angle_gamma 120.00
_space_group_name_H-M_alt 'P 63/m c m'
_space_group_IT_number 193
_space_group_name_Hall '-P 6c 2'
loop_
_atom_site_label
_atom_site_type_symbol
_atom_site_fract_x
_atom_site_fract_y
_atom_site_fract_z
_atom_site_occupancy
Nd1 Nd 0.0000 0.0000 0.0000 1
Ho1 Ho 0.0000 0.3318 0.2500 1
Ho2 Ho 0.3333 0.6667 0.0000 1
Hg1 Hg 0.0000 0.3391 0.7500 1
```